--- one ---
The following is a PBE calculation of CdHAuSe after structural relaxation, from the Alexandria database.

Values from the calculation:
Crystal system: triclinic

Cell: 3.830 3.834 6.635 Å, 77.59 77.44 61.07°
Space group P1 (No. 1)
Symmetry-distinct sites (fractional):
Cd 0.000 0.000 0.000 [1 per cell]
H 0.775 0.772 0.651 [1 per cell]
Au 0.600 0.602 0.268 [1 per cell]
Se 0.543 0.541 0.678 [1 per cell]


--- two ---
The following is a PBE calculation of CdHAuSe after structural relaxation, from the Alexandria database.

Values from the calculation:
Crystal system: triclinic

Cell: 4.298 4.403 6.322 Å, 80.22 71.67 61.54°
Space group P1 (No. 1)
Symmetry-distinct sites (fractional):
Cd 0.000 0.000 0.000 [1 per cell]
H 0.784 0.275 0.276 [1 per cell]
Au 0.790 0.986 0.477 [1 per cell]
Se 0.727 0.686 0.843 [1 per cell]


two wins, 134 meV per atom ahead of the next structure.


--- one ---
The following is a PBE calculation of CdHAuSe after structural relaxation, from the Alexandria database.

Values from the calculation:
Crystal system: monoclinic

Cell: 7.825 4.398 6.208 Å, 90.00 104.45 90.00°
Space group Cm (No. 8)
Symmetry-distinct sites (fractional):
Cd 0.000 0.000 0.000 [2 per cell]
H 0.081 0.500 0.545 [2 per cell]
Au 0.465 0.000 0.292 [2 per cell]
Se 0.298 0.000 0.880 [2 per cell]


--- two ---
The following is a PBE calculation of CdHAuSe after structural relaxation, from the Alexandria database.

Values from the calculation:
Crystal system: monoclinic

Cell: 7.669 3.844 5.607 Å, 90.00 91.27 90.00°
Space group Cm (No. 8)
Symmetry-distinct sites (fractional):
Cd 0.000 0.000 0.000 [2 per cell]
H 0.342 0.500 0.324 [2 per cell]
Au 0.333 0.000 0.325 [2 per cell]
Se 0.306 0.000 0.787 [2 per cell]


one wins, 54 meV per atom ahead of the next structure.


--- one ---
The following is a PBE calculation of Sr2CdHAu after structural relaxation, from the Alexandria database.

Values from the calculation:
Crystal system: tetragonal

Cell: 6.041 6.041 5.207 Å, 90.00 90.00 90.00°
Space group P4/mmm (No. 123)
Symmetry-distinct sites (fractional):
Sr 0.000 0.500 0.000 [2 per cell]
Cd 0.000 0.000 0.500 [1 per cell]
H 0.500 0.500 0.500 [1 per cell]
Au 0.000 0.000 0.000 [1 per cell]


--- two ---
The following is a PBE calculation of Sr2CdHAu after structural relaxation, from the Alexandria database.

Values from the calculation:
Crystal system: tetragonal

Cell: 5.284 5.284 4.323 Å, 90.00 90.00 90.00°
Space group P4/mmm (No. 123)
Symmetry-distinct sites (fractional):
Sr 0.000 0.500 0.000 [2 per cell]
Cd 0.000 0.000 0.500 [1 per cell]
H 0.000 0.000 0.000 [1 per cell]
Au 0.500 0.500 0.500 [1 per cell]


two wins, 422 meV per atom ahead of the next structure.


--- one ---
The following is a PBE calculation of Ti2CdHAu after structural relaxation, from the Alexandria database.

Values from the calculation:
Crystal system: tetragonal

Cell: 4.051 4.051 4.416 Å, 90.00 90.00 90.00°
Space group P4/mmm (No. 123)
Symmetry-distinct sites (fractional):
Ti 0.000 0.500 0.000 [2 per cell]
Cd 0.000 0.000 0.500 [1 per cell]
H 0.000 0.000 0.000 [1 per cell]
Au 0.500 0.500 0.500 [1 per cell]


--- two ---
The following is a PBE calculation of Ti2CdHAu after structural relaxation, from the Alexandria database.

Values from the calculation:
Crystal system: tetragonal

Cell: 4.121 4.121 4.287 Å, 90.00 90.00 90.00°
Space group P4/mmm (No. 123)
Symmetry-distinct sites (fractional):
Ti 0.000 0.500 0.000 [2 per cell]
Cd 0.000 0.000 0.500 [1 per cell]
H 0.500 0.500 0.000 [1 per cell]
Au 0.500 0.500 0.500 [1 per cell]


one wins, 25 meV per atom ahead of the next structure.